A) First-principles (GGA-PBE) data for a geometry-optimized Ce2YOs structure, as listed in Alexandria via LeMat-Bulk.

Fermi-level density of states: 9.00 states/eV per cell

abc: 3.969 3.969 8.965
angles: 77.21 77.21 60.00
Atoms (fractional coordinates):
Os 0.666 0.666 0.003
Y 0.501 0.501 0.497
Ce 0.274 0.274 0.178
Ce 0.059 0.059 0.823



B) First-principles (GGA-PBE) data for a geometry-optimized Ce2YOs structure, as listed in Alexandria via LeMat-Bulk.

Fermi-level density of states: 72.21 states/eV per cell

abc: 6.030 9.624 14.445
angles: 90.00 90.00 90.00
Atoms (fractional coordinates):
Ce 0.755 0.942 0.037
Ce 0.255 0.058 0.463
Y 0.735 0.250 0.896
Ce 0.442 0.436 0.712
Ce 0.058 0.064 0.212
Y 0.465 0.750 0.857
Os 0.721 0.750 0.677
Ce 0.255 0.442 0.463
Ce 0.942 0.564 0.788
Ce 0.558 0.936 0.288
Y 0.265 0.750 0.104
Os 0.991 0.750 0.929
Os 0.221 0.250 0.823
Ce 0.745 0.942 0.537
Os 0.009 0.250 0.071
Y 0.235 0.750 0.604
Os 0.491 0.250 0.571
Y 0.535 0.250 0.143
Ce 0.245 0.442 0.963
Ce 0.558 0.564 0.288
Ce 0.755 0.558 0.037
Os 0.779 0.750 0.177
Ce 0.942 0.936 0.788
Y 0.035 0.750 0.357
Os 0.509 0.750 0.429
Y 0.765 0.250 0.396
Ce 0.745 0.558 0.537
Ce 0.245 0.058 0.963
Y 0.965 0.250 0.643
Os 0.279 0.250 0.323
Ce 0.058 0.436 0.212
Ce 0.442 0.064 0.712



Energy relative to the most stable one, in meV/atom: A) 186; B) 0



A) First-principles (GGA-PBE) data for a geometry-optimized Ce2YOs structure, as listed in Alexandria via LeMat-Bulk.

Fermi-level density of states: 8.35 states/eV per cell

abc: 3.904 3.904 9.141
angles: 77.67 77.67 60.00
Atoms (fractional coordinates):
Ce 0.726 0.726 0.821
Os 0.000 0.000 0.000
Y 0.500 0.500 0.500
Ce 0.274 0.274 0.179



B) First-principles (GGA-PBE) data for a geometry-optimized Ce2YOs structure, as listed in Alexandria via LeMat-Bulk.

Fermi-level density of states: 15.51 states/eV per cell

abc: 3.828 6.008 9.553
angles: 90.00 90.00 108.56
Atoms (fractional coordinates):
Ce 0.642 0.284 0.061
Os 0.211 0.422 0.250
Ce 0.358 0.716 0.939
Y 0.924 0.849 0.250
Ce 0.358 0.716 0.561
Y 0.076 0.151 0.750
Ce 0.642 0.284 0.439
Os 0.789 0.578 0.750



Energy relative to the most stable one, in meV/atom: A) 191; B) 0



A) First-principles (GGA-PBE) data for a geometry-optimized Ce3ZnOs structure, as listed in Alexandria via LeMat-Bulk.

Fermi-level density of states: 23.83 states/eV per cell

abc: 5.603 5.603 8.592
angles: 101.99 101.99 111.27
Atoms (fractional coordinates):
Ce 0.300 0.800 0.100
Zn 0.307 0.807 0.500
Zn 0.693 0.193 0.500
Ce 0.700 0.200 0.900
Ce 0.112 0.204 0.316
Ce 0.888 0.796 0.684
Os 0.250 0.250 0.000
Ce 0.296 0.388 0.684
Os 0.750 0.750 0.000
Ce 0.704 0.612 0.316



B) First-principles (GGA-PBE) data for a geometry-optimized Ce3ZnOs structure, as listed in Alexandria via LeMat-Bulk.

Fermi-level density of states: 19.86 states/eV per cell

abc: 5.371 5.961 8.765
angles: 108.00 92.90 111.18
Atoms (fractional coordinates):
Ce 0.120 0.273 0.290
Ce 0.653 0.249 0.934
Os 0.862 0.798 0.060
Ce 0.880 0.727 0.710
Ce 0.347 0.751 0.066
Ce 0.148 0.290 0.627
Ce 0.852 0.710 0.373
Zn 0.585 0.163 0.430
Zn 0.415 0.837 0.570
Os 0.138 0.202 0.940



Energy relative to the most stable one, in meV/atom: A) 0; B) 43



A) First-principles (GGA-PBE) data for a geometry-optimized Ce6ZnOs2 structure, as listed in Alexandria via LeMat-Bulk.

Fermi-level density of states: 17.09 states/eV per cell

abc: 4.902 5.574 8.748
angles: 96.02 90.00 116.09
Atoms (fractional coordinates):
Ce 0.306 0.612 0.410
Os 0.726 0.453 0.883
Ce 0.051 0.102 0.854
Zn 0.000 0.000 0.500
Ce 0.614 0.227 0.174
Ce 0.386 0.773 0.826
Ce 0.694 0.388 0.590
Os 0.274 0.547 0.117
Ce 0.949 0.898 0.146



B) First-principles (GGA-PBE) data for a geometry-optimized Ce6ZnOs2 structure, as listed in Alexandria via LeMat-Bulk.

Fermi-level density of states: 43.22 states/eV per cell

abc: 6.373 7.393 9.523
angles: 90.00 89.23 90.00
Atoms (fractional coordinates):
Ce 0.643 0.131 0.952
Zn 0.000 0.000 0.500
Ce 0.149 0.075 0.776
Ce 0.851 0.925 0.224
Os 0.432 0.113 0.276
Ce 0.351 0.575 0.724
Os 0.568 0.887 0.724
Ce 0.624 0.192 0.577
Ce 0.376 0.808 0.423
Os 0.068 0.613 0.224
Ce 0.143 0.369 0.452
Ce 0.124 0.308 0.077
Ce 0.357 0.869 0.048
Zn 0.500 0.500 0.000
Os 0.932 0.387 0.776
Ce 0.876 0.692 0.923
Ce 0.649 0.425 0.276
Ce 0.857 0.631 0.548



Energy relative to the most stable one, in meV/atom: A) 0; B) 159



A) First-principles (GGA-PBE) data for a geometry-optimized Ce3P structure, as listed in Alexandria via LeMat-Bulk.

Fermi-level density of states: 10.31 states/eV per cell

abc: 3.708 5.450 5.805
angles: 118.00 108.63 90.00
Atoms (fractional coordinates):
P 0.000 0.051 0.000
Ce 0.500 0.465 0.000
Ce 0.710 0.035 0.419
Ce 0.290 0.616 0.581



B) First-principles (GGA-PBE) data for a geometry-optimized Ce3P structure, as listed in Alexandria via LeMat-Bulk.

Fermi-level density of states: 10.32 states/eV per cell

abc: 4.487 4.487 4.487
angles: 90.00 90.00 90.00
Atoms (fractional coordinates):
P 0.000 0.500 0.417
Ce 0.500 0.500 0.917
Ce 0.000 0.000 0.917
Ce 0.500 0.000 0.417



Energy relative to the most stable one, in meV/atom: A) 0; B) 7



A) First-principles (GGA-PBE) data for a geometry-optimized Ce3P2 structure, as listed in Alexandria via LeMat-Bulk.

Fermi-level density of states: 31.39 states/eV per cell

abc: 6.967 6.967 7.822
angles: 63.55 63.55 60.00
Atoms (fractional coordinates):
Ce 0.250 0.574 0.250
P 0.338 0.338 0.985
P 0.662 0.662 0.015
Ce 0.074 0.750 0.750
Ce 0.750 0.426 0.750
Ce 0.926 0.250 0.250
P 0.162 0.162 0.515
Ce 0.574 0.926 0.250
Ce 0.426 0.074 0.750
P 0.838 0.838 0.485



B) First-principles (GGA-PBE) data for a geometry-optimized Ce3P2 structure, as listed in Alexandria via LeMat-Bulk.

Fermi-level density of states: 56.80 states/eV per cell

abc: 4.033 10.641 11.508
angles: 90.00 90.00 90.00
Atoms (fractional coordinates):
Ce 0.250 0.949 0.372
Ce 0.750 0.703 0.270
Ce 0.250 0.634 0.546
Ce 0.250 0.866 0.046
P 0.750 0.500 0.683
P 0.250 0.183 0.502
Ce 0.250 0.551 0.872
P 0.750 0.683 0.998
Ce 0.750 0.366 0.454
Ce 0.750 0.449 0.128
Ce 0.750 0.051 0.628
P 0.750 0.000 0.183
P 0.250 0.000 0.817
Ce 0.250 0.203 0.230
P 0.250 0.500 0.317
Ce 0.250 0.297 0.730
P 0.250 0.317 0.002
Ce 0.750 0.797 0.770
Ce 0.750 0.134 0.954
P 0.750 0.817 0.498



Energy relative to the most stable one, in meV/atom: A) 89; B) 0



A) First-principles (GGA-PBE) data for a geometry-optimized CePa2P structure, as listed in Alexandria via LeMat-Bulk.

Fermi-level density of states: 8.63 states/eV per cell

abc: 4.452 4.392 4.392
angles: 90.00 90.00 90.00
Atoms (fractional coordinates):
P 0.500 0.000 0.000
Ce 0.500 0.500 0.500
Pa 0.000 0.500 0.000
Pa 0.000 0.000 0.500



B) First-principles (GGA-PBE) data for a geometry-optimized CePa2P structure, as listed in Alexandria via LeMat-Bulk.

Fermi-level density of states: 6.40 states/eV per cell

abc: 3.400 3.400 9.925
angles: 80.14 80.14 60.00
Atoms (fractional coordinates):
Ce 0.000 0.000 0.000
P 0.500 0.500 0.500
Pa 0.898 0.898 0.306
Pa 0.102 0.102 0.694



C) First-principles (GGA-PBE) data for a geometry-optimized CePa2P structure, as listed in Alexandria via LeMat-Bulk.

Fermi-level density of states: 10.77 states/eV per cell

abc: 3.788 3.788 6.413
angles: 90.00 90.00 90.00
Atoms (fractional coordinates):
Pa 0.000 0.000 0.291
Ce 0.500 0.500 0.000
P 0.500 0.500 0.500
Pa 0.000 0.000 0.709



Energy relative to the most stable one, in meV/atom: A) 0; B) 263; C) 130



A) First-principles (GGA-PBE) data for a geometry-optimized Ce2PPb structure, as listed in Alexandria via LeMat-Bulk.

Fermi-level density of states: 10.38 states/eV per cell

abc: 4.057 4.057 8.351
angles: 90.00 104.06 120.00
Atoms (fractional coordinates):
P 0.000 0.000 0.000
Ce 0.531 0.266 0.797
Pb 0.000 0.500 0.500
Ce 0.469 0.734 0.203



B) First-principles (GGA-PBE) data for a geometry-optimized Ce2PPb structure, as listed in Alexandria via LeMat-Bulk.

Fermi-level density of states: 11.20 states/eV per cell

abc: 3.942 3.942 8.769
angles: 77.01 77.01 60.01
Atoms (fractional coordinates):
Ce 0.065 0.065 0.804
Ce 0.268 0.268 0.196
P 0.667 0.667 0.999
Pb 0.500 0.500 0.501



C) First-principles (GGA-PBE) data for a geometry-optimized Ce2PPb structure, as listed in Alexandria via LeMat-Bulk.

Fermi-level density of states: 11.32 states/eV per cell

abc: 3.517 3.517 8.194
angles: 90.00 90.00 90.00
Atoms (fractional coordinates):
Pb 0.500 0.500 0.500
P 0.500 0.500 0.000
Ce 0.000 0.000 0.203
Ce 0.000 0.000 0.797



Energy relative to the most stable one, in meV/atom: A) 0; B) 34; C) 74



A) First-principles (GGA-PBE) data for a geometry-optimized Ce3PPb structure, as listed in Alexandria via LeMat-Bulk.

Fermi-level density of states: 61.21 states/eV per cell

abc: 4.224 8.640 15.495
angles: 90.00 90.00 90.00
Atoms (fractional coordinates):
Pb 0.750 0.408 0.675
Ce 0.250 0.474 0.107
Pb 0.250 0.092 0.175
Ce 0.750 0.633 0.494
P 0.750 0.174 0.445
Ce 0.750 0.810 0.217
Pb 0.750 0.908 0.825
Ce 0.750 0.310 0.283
Pb 0.250 0.592 0.325
Ce 0.250 0.367 0.506
Ce 0.750 0.026 0.607
Ce 0.750 0.526 0.893
Ce 0.250 0.190 0.783
Ce 0.250 0.974 0.393
P 0.250 0.326 0.945
P 0.250 0.826 0.555
Ce 0.250 0.867 0.994
P 0.750 0.674 0.055
Ce 0.750 0.133 0.006
Ce 0.250 0.690 0.717



B) First-principles (GGA-PBE) data for a geometry-optimized Ce3PPb structure, as listed in Alexandria via LeMat-Bulk.

Fermi-level density of states: 13.93 states/eV per cell

abc: 5.358 5.358 5.358
angles: 90.00 90.00 90.00
Atoms (fractional coordinates):
P 0.000 0.000 0.000
Ce 0.000 0.500 0.000
Pb 0.500 0.500 0.500
Ce 0.000 0.000 0.500
Ce 0.500 0.000 0.000



Energy relative to the most stable one, in meV/atom: A) 0; B) 137



A) First-principles (GGA-PBE) data for a geometry-optimized CePmP2 structure, as listed in Alexandria via LeMat-Bulk.

Fermi-level density of states: 4.73 states/eV per cell

abc: 4.108 4.108 7.115
angles: 73.21 73.21 60.00
Atoms (fractional coordinates):
P 0.748 0.748 0.756
P 0.252 0.252 0.244
Ce 0.000 0.000 0.000
Pm 0.500 0.500 0.500



B) First-principles (GGA-PBE) data for a geometry-optimized CePmP2 structure, as listed in Alexandria via LeMat-Bulk.

Fermi-level density of states: 4.38 states/eV per cell

abc: 4.983 4.983 4.983
angles: 60.00 60.00 60.00
Atoms (fractional coordinates):
P 0.250 0.250 0.250
Ce 0.500 0.500 0.500
P 0.750 0.750 0.750
Pm 0.000 0.000 0.000



Energy relative to the most stable one, in meV/atom: A) 0; B) 419



A) First-principles (GGA-PBE) data for a geometry-optimized CePmP2 structure, as listed in Alexandria via LeMat-Bulk.

Fermi-level density of states: 5.98 states/eV per cell

abc: 4.038 4.038 7.471
angles: 74.32 74.32 60.00
Atoms (fractional coordinates):
P 0.083 0.083 0.751
Ce 0.497 0.497 0.508
P 0.250 0.250 0.250
Pm 0.670 0.670 0.991



B) First-principles (GGA-PBE) data for a geometry-optimized CePmP2 structure, as listed in Alexandria via LeMat-Bulk.

Fermi-level density of states: 4.42 states/eV per cell

abc: 3.532 4.983 4.983
angles: 90.00 90.00 90.00
Atoms (fractional coordinates):
Ce 0.500 0.500 0.500
Pm 0.500 0.000 0.000
P 0.000 0.000 0.500
P 0.000 0.500 0.000



Energy relative to the most stable one, in meV/atom: A) 0; B) 240